# 1
# Al2V6Sn | the Alexandria database | PBE-GGA | optimized geometry
# DOS(E_F) ... 6.5 states/eV/f.u.
# E ... -67.0 eV per formula unit
# E_form ... -0.0910 eV per atom
data_Al2V6Sn
_chemical_formula_sum 'Al2 V6 Sn1'
_space_group_name_H-M_alt 'P -1'
_space_group_IT_number 2
_cell_length_a 3.234
_cell_length_b 6.595
_cell_length_c 6.874
_cell_angle_alpha 109.29
_cell_angle_beta 90.01
_cell_angle_gamma 104.12
loop_
_space_group_symop_operation_xyz
'x,y,z'
'-x,-y,-z'
loop_
_atom_site_label
_atom_site_type_symbol
_atom_site_fract_x
_atom_site_fract_y
_atom_site_fract_z
Al1 Al 0.063 0.127 0.369
V1 V 0.170 0.343 0.002
V2 V 0.270 0.539 0.663
V3 V 0.379 0.758 0.307
Sn1 Sn 0.500 0.000 0.000

# 2
# Al3V12Sn | the Alexandria database | PBE-GGA | optimized geometry
# DOS(E_F) ... 26.9 states/eV/f.u.
# E ... -126.6 eV per formula unit
# E_form ... -0.1210 eV per atom
data_Al3V12Sn
_chemical_formula_sum 'Al3 V12 Sn1'
_space_group_name_H-M_alt 'P m m m'
_space_group_IT_number 47
_cell_length_a 4.850
_cell_length_b 4.902
_cell_length_c 9.599
_cell_angle_alpha 90.00
_cell_angle_beta 90.00
_cell_angle_gamma 90.00
loop_
_space_group_symop_operation_xyz
'x,y,z'
'-x,-y,-z'
'-x,-y,z'
'x,y,-z'
'x,-y,-z'
'-x,y,z'
'-x,y,-z'
'x,-y,z'
loop_
_atom_site_label
_atom_site_type_symbol
_atom_site_fract_x
_atom_site_fract_y
_atom_site_fract_z
Al1 Al 0.000 0.000 0.000
Al2 Al 0.500 0.500 0.249
V1 V 0.000 0.261 0.240
V2 V 0.234 0.500 0.000
V3 V 0.265 0.500 0.500
V4 V 0.500 0.000 0.124
V5 V 0.500 0.000 0.363
Sn1 Sn 0.000 0.000 0.500

# 3
# AlV6Sn | the Alexandria database | PBE-GGA | optimized geometry
# DOS(E_F) ... 7.2 states/eV/f.u.
# E ... -63.2 eV per formula unit
# E_form ... -0.0982 eV per atom
data_AlV6Sn
_chemical_formula_sum 'Al2 V12 Sn2'
_space_group_name_H-M_alt 'A m m 2'
_space_group_IT_number 38
_cell_length_a 4.356
_cell_length_b 5.970
_cell_length_c 9.040
_cell_angle_alpha 90.00
_cell_angle_beta 90.00
_cell_angle_gamma 90.00
loop_
_space_group_symop_operation_xyz
'x,y,z'
'-x,-y,z'
'-x,y,z'
'x,-y,z'
'x,y+1/2,z+1/2'
'-x,-y+1/2,z+1/2'
'-x,y+1/2,z+1/2'
'x,-y+1/2,z+1/2'
loop_
_atom_site_label
_atom_site_type_symbol
_atom_site_fract_x
_atom_site_fract_y
_atom_site_fract_z
Al1 Al 0.000 0.000 0.000
V1 V 0.000 0.000 0.518
V2 V 0.000 0.227 0.751
V3 V 0.500 0.000 0.780
V4 V 0.500 0.248 0.544
Sn1 Sn 0.500 0.000 0.298

What did the third record say?
# AlV6Sn | the Alexandria database | PBE-GGA | optimized geometry
# DOS(E_F) ... 7.2 states/eV/f.u.
# E ... -63.2 eV per formula unit
# E_form ... -0.0982 eV per atom
data_AlV6Sn
_chemical_formula_sum 'Al2 V12 Sn2'
_space_group_name_H-M_alt 'A m m 2'
_space_group_IT_number 38
_cell_length_a 4.356
_cell_length_b 5.970
_cell_length_c 9.040
_cell_angle_alpha 90.00
_cell_angle_beta 90.00
_cell_angle_gamma 90.00
loop_
_space_group_symop_operation_xyz
'x,y,z'
'-x,-y,z'
'-x,y,z'
'x,-y,z'
'x,y+1/2,z+1/2'
'-x,-y+1/2,z+1/2'
'-x,y+1/2,z+1/2'
'x,-y+1/2,z+1/2'
loop_
_atom_site_label
_atom_site_type_symbol
_atom_site_fract_x
_atom_site_fract_y
_atom_site_fract_z
Al1 Al 0.000 0.000 0.000
V1 V 0.000 0.000 0.518
V2 V 0.000 0.227 0.751
V3 V 0.500 0.000 0.780
V4 V 0.500 0.248 0.544
Sn1 Sn 0.500 0.000 0.298

Which of these has the highest E? AlV6Sn